No. 1
The following is a PBE calculation of an optimized crystal structure of Tm3Tl2Co, from Alexandria.

Lattice parameters (Å, degrees): 9.3223 9.3223 5.1269 105.94 105.94 123.97
Last column: nearest neighbours and their distance in Å.
Atoms (fractional coordinates):
Tm  0.1228  0.8772  0.0000  2 Co 2.69
Tm  0.2500  0.2500  0.7484  2 Co 2.56
Tm  0.3771  0.6229  0.5000  2 Co 2.69
Tm  0.6229  0.3771  0.5000  2 Co 2.69
Tm  0.7500  0.7500  0.2516  2 Co 2.56
Tm  0.8772  0.1228  0.0000  2 Co 2.69
Tl  0.0568  0.4438  0.7504  2 Tl 3.17, 7 Tm 3.19-3.51
Tl  0.4438  0.0568  0.7504  2 Tl 3.17, 7 Tm 3.19-3.51
Tl  0.5562  0.9432  0.2496  2 Tl 3.17, 7 Tm 3.19-3.51
Tl  0.9432  0.5562  0.2496  2 Tl 3.17, 7 Tm 3.19-3.51
Co  0.2500  0.2500  0.2484  6 Tm 2.56-2.69
Co  0.7500  0.7500  0.7516  6 Tm 2.56-2.69

space-group type: C2/m (12)


No. 2
The following is a PBE calculation of an optimized crystal structure of YU2Tc2, from Alexandria.

Lattice parameters (Å, degrees): 7.2627 7.2627 5.9416 90.00 90.00 138.28
Last column: nearest neighbours and their distance in Å.
Atoms (fractional coordinates):
Y  0.0698  0.9302  0.7500  5 Tc 2.89-3.13
Y  0.9302  0.0698  0.2500  5 Tc 2.89-3.13
U  0.3039  0.6961  0.0221  2 Tc 2.50-2.57, 1 U 2.71
U  0.3039  0.6961  0.4779  2 Tc 2.50-2.57, 1 U 2.71
U  0.6961  0.3039  0.5221  2 Tc 2.50-2.57, 1 U 2.71
U  0.6961  0.3039  0.9779  2 Tc 2.50-2.57, 1 U 2.71
Tc  0.1428  0.8572  0.2500  2 U 2.57, 2 Tc 2.84
Tc  0.4442  0.5558  0.7500  2 U 2.50
Tc  0.5558  0.4442  0.2500  2 U 2.50
Tc  0.8572  0.1428  0.7500  2 U 2.57, 2 Tc 2.84

space-group type: Cmcm (63)


Q: Which formation energy from the elements values were calculated for the entries above? A: -0.23 0.05, in eV/atom.